UMnNb2 | PBE-GGA | relaxed

## Properties
- Raw total energy: -114.10 eV/cell
- ΔH_f (0 K): 0.64 eV per atom

Cell lengths 2.8725, 2.8725, 30.5543 Å; angles 90.00, 90.00, 120.00 degrees
Closest atoms and distances in Å follow each position.
Space group R-3m (No. 166, hexagonal axes)
Symmetry-distinct sites (fractional):
U 0.0000 0.0000 0.0000 [3 per cell]  6 U 2.87
Mn 0.0000 0.0000 0.5000 [3 per cell]  2 Nb 2.27
Nb 0.0000 0.0000 0.4256 [6 per cell]  1 Mn 2.27